PBE-GGA CuRe2Cl, relaxed; E_form (uncorrected) = 0.4462 eV per atom; D(E_F) = 4.1 states/eV/cell; space-group type = Cm (8); total magnetic moment = 0.000 μB per atom; distance to the lowest polymorph of the same formula = 162.4 meV/atom
1.0
6.246 0.000 0.000
0.000 2.915 0.000
-0.013 0.000 7.921
Cu Re Cl
2 4 2
Direct
0.000 0.000 0.000
0.500 0.500 0.000
0.099 0.500 0.554
0.335 0.000 0.753
0.599 0.000 0.554
0.835 0.500 0.753
0.069 0.000 0.294
0.569 0.500 0.294

***

PBE-GGA CuRe2Cl8, relaxed; E_form (uncorrected) = -0.1859 eV per atom; D(E_F) = 6.0 states/eV/cell; space-group type = C2/m (12); total magnetic moment = 0.088 μB per atom
1.0
6.219 -4.370 0.000
6.219 4.370 0.000
-0.166 0.000 6.690
Cu Re Cl
1 2 8
Direct
0.000 0.000 0.000
0.207 0.207 0.646
0.793 0.793 0.354
0.066 0.709 0.185
0.169 0.169 0.320
0.291 0.934 0.815
0.381 0.381 0.717
0.619 0.619 0.283
0.709 0.066 0.185
0.831 0.831 0.680
0.934 0.291 0.815

***

PBE-GGA Cu3ReCl, relaxed; E_form (uncorrected) = 1.4937 eV per atom; D(E_F) = 4.8 states/eV/cell; space-group type = Pm-3m (221); total magnetic moment = 0.144 μB per atom; distance to the lowest polymorph of the same formula = 0.0 meV/atom
1.0
4.741 0.000 0.000
0.000 4.741 0.000
0.000 0.000 4.741
Cu Re Cl
3 1 1
Direct
0.000 0.000 0.500
0.000 0.500 0.000
0.500 0.000 0.000
0.000 0.000 0.000
0.500 0.500 0.500

***

PBE-GGA Cu2Re2Cl, relaxed; E_form (uncorrected) = 0.6805 eV per atom; D(E_F) = 5.6 states/eV/cell; space-group type = I4/mmm (139); total magnetic moment = 0.000 μB per atom; distance to the lowest polymorph of the same formula = 0.0 meV/atom
1.0
3.515 0.000 0.000
0.000 3.515 0.000
0.000 0.000 14.468
Cu Re Cl
4 4 2
Direct
0.000 0.000 0.110
0.000 0.000 0.890
0.500 0.500 0.390
0.500 0.500 0.610
0.000 0.500 0.250
0.000 0.500 0.750
0.500 0.000 0.250
0.500 0.000 0.750
0.000 0.000 0.500
0.500 0.500 0.000

***

PBE-GGA CuReCl2, relaxed; E_form (uncorrected) = 1.0129 eV per atom; D(E_F) = 2.9 states/eV/cell; space-group type = P4/mmm (123); total magnetic moment = 0.000 μB per atom; distance to the lowest polymorph of the same formula = 850.7 meV/atom
1.0
4.525 0.000 0.000
0.000 4.525 0.000
0.000 0.000 2.957
Cu Re Cl
1 1 2
Direct
0.000 0.000 0.000
0.500 0.500 0.000
0.000 0.500 0.500
0.500 0.000 0.500

***

PBE-GGA CuRe2Cl, relaxed; E_form (uncorrected) = 1.2294 eV per atom; D(E_F) = 4.1 states/eV/cell; space-group type = P4/mmm (123); total magnetic moment = 0.000 μB per atom; distance to the lowest polymorph of the same formula = 945.6 meV/atom
1.0
4.412 0.000 0.000
0.000 4.412 0.000
0.000 0.000 2.865
Cu Re Cl
1 2 1
Direct
0.000 0.000 0.000
0.000 0.500 0.500
0.500 0.000 0.500
0.500 0.500 0.000

***

PBE-GGA CuRe2Cl, relaxed; E_form (uncorrected) = 1.0261 eV per atom; D(E_F) = 13.8 states/eV/cell; space-group type = F-43m (216); total magnetic moment = 0.000 μB per atom; distance to the lowest polymorph of the same formula = 742.3 meV/atom
1.0
6.206 0.000 0.000
0.000 6.206 0.000
0.000 0.000 6.206
Cu Re Cl
4 8 4
Direct
0.000 0.000 0.000
0.000 0.500 0.500
0.500 0.000 0.500
0.500 0.500 0.000
0.000 0.000 0.500
0.000 0.500 0.000
0.250 0.250 0.250
0.250 0.750 0.750
0.500 0.000 0.000
0.500 0.500 0.500
0.750 0.250 0.750
0.750 0.750 0.250
0.250 0.250 0.750
0.250 0.750 0.250
0.750 0.250 0.250
0.750 0.750 0.750

***

PBE-GGA Cu3ReCl, relaxed; E_form (uncorrected) = 1.5337 eV per atom; D(E_F) = 5.8 states/eV/cell; space-group type = Pm-3m (221); total magnetic moment = 0.000 μB per atom; distance to the lowest polymorph of the same formula = 39.9 meV/atom
1.0
4.283 0.000 0.000
0.000 4.283 0.000
0.000 0.000 4.283
Cu Re Cl
3 1 1
Direct
0.000 0.000 0.500
0.000 0.500 0.000
0.500 0.000 0.000
0.500 0.500 0.500
0.000 0.000 0.000

***

PBE-GGA CuRe2Cl, relaxed; E_form (uncorrected) = 0.3224 eV per atom; D(E_F) = 10.4 states/eV/cell; space-group type = R3m (160); total magnetic moment = 0.000 μB per atom; distance to the lowest polymorph of the same formula = 38.7 meV/atom
1.0
2.872 0.000 0.000
-1.436 2.487 0.000
0.000 0.000 25.037
Cu Re Cl
3 6 3
Direct
0.000 0.000 0.000
0.333 0.667 0.667
0.667 0.333 0.333
0.000 0.000 0.501
0.000 0.000 0.753
0.333 0.667 0.168
0.333 0.667 0.419
0.667 0.333 0.086
0.667 0.333 0.834
0.000 0.000 0.251
0.333 0.667 0.918
0.667 0.333 0.585

***

PBE-GGA CuRe3Cl, relaxed; E_form (uncorrected) = 2.6179 eV per atom; D(E_F) = 7.8 states/eV/cell; space-group type = Pm-3m (221); total magnetic moment = 0.959 μB per atom; distance to the lowest polymorph of the same formula = 797.9 meV/atom
1.0
4.592 0.000 0.000
0.000 4.592 0.000
0.000 0.000 4.592
Cu Re Cl
1 3 1
Direct
0.000 0.000 0.000
0.000 0.000 0.500
0.000 0.500 0.000
0.500 0.000 0.000
0.500 0.500 0.500

***

PBE-GGA CuReCl2, relaxed; E_form (uncorrected) = 0.7151 eV per atom; D(E_F) = 6.1 states/eV/cell; space-group type = C2/m (12); total magnetic moment = 0.000 μB per atom; distance to the lowest polymorph of the same formula = 552.9 meV/atom
1.0
5.890 0.000 0.000
0.000 7.968 0.000
-0.011 0.000 2.860
Cu Re Cl
2 2 4
Direct
0.000 0.000 0.000
0.500 0.500 0.000
0.000 0.500 0.000
0.500 0.000 0.000
0.250 0.250 0.000
0.250 0.750 0.000
0.750 0.250 0.000
0.750 0.750 0.000

***

PBE-GGA CuReCl2, relaxed; E_form (uncorrected) = 1.2441 eV per atom; D(E_F) = 9.4 states/eV/cell; space-group type = F-43m (216); total magnetic moment = 1.025 μB per atom; distance to the lowest polymorph of the same formula = 1081.9 meV/atom
1.0
6.593 0.000 0.000
0.000 6.593 0.000
0.000 0.000 6.593
Cu Re Cl
4 4 8
Direct
0.000 0.000 0.000
0.000 0.500 0.500
0.500 0.000 0.500
0.500 0.500 0.000
0.250 0.250 0.750
0.250 0.750 0.250
0.750 0.250 0.250
0.750 0.750 0.750
0.000 0.000 0.500
0.000 0.500 0.000
0.250 0.250 0.250
0.250 0.750 0.750
0.500 0.000 0.000
0.500 0.500 0.500
0.750 0.250 0.750
0.750 0.750 0.250

***

PBE-GGA Cu2Re2Cl, relaxed; E_form (uncorrected) = 0.8460 eV per atom; D(E_F) = 7.0 states/eV/cell; space-group type = P4/mbm (127); total magnetic moment = 0.000 μB per atom; distance to the lowest polymorph of the same formula = 165.5 meV/atom
1.0
8.087 0.000 0.000
0.000 8.087 0.000
0.000 0.000 2.517
Cu Re Cl
4 4 2
Direct
0.183 0.317 0.000
0.317 0.817 0.000
0.683 0.183 0.000
0.817 0.683 0.000
0.107 0.607 0.500
0.393 0.107 0.500
0.607 0.893 0.500
0.893 0.393 0.500
0.000 0.000 0.000
0.500 0.500 0.000

***

PBE-GGA CuReCl2, relaxed; E_form (uncorrected) = 0.2624 eV per atom; D(E_F) = 5.8 states/eV/cell; space-group type = Cm (8); total magnetic moment = 0.220 μB per atom; distance to the lowest polymorph of the same formula = 100.2 meV/atom
1.0
9.454 0.000 0.000
0.000 2.908 0.000
-2.520 0.000 6.920
Cu Re Cl
2 2 4
Direct
0.000 0.000 0.000
0.500 0.500 0.000
0.232 0.500 0.999
0.732 0.000 0.999
0.169 0.000 0.722
0.317 0.000 0.275
0.669 0.500 0.722
0.817 0.500 0.275

***

PBE-GGA CuReCl2, relaxed; E_form (uncorrected) = 0.1622 eV per atom; D(E_F) = 2.9 states/eV/cell; space-group type = Pm (6); total magnetic moment = 0.170 μB per atom; distance to the lowest polymorph of the same formula = 0.0 meV/atom
1.0
3.665 0.000 0.000
0.000 3.074 0.000
-1.732 0.000 7.510
Cu Re Cl
1 1 2
Direct
0.000 0.000 0.000
0.442 0.500 0.877
0.329 0.000 0.639
0.595 0.500 0.196